1.
A plane-wave DFT calculation with PBE was carried out for a relaxed structure of LiLaSb3.

Structure (POSCAR):
```
LiLaSb3
1.0
13.9007 0.0000 0.0000
0.0000 6.1676 0.0000
0.0000 0.0000 6.4021
Li La Sb
4 4 12
direct
0.1025 0.2500 0.0000 Li
0.1025 0.2500 0.5000 Li
0.8975 0.7500 0.0000 Li
0.8975 0.7500 0.5000 Li
0.3143 0.5082 0.2500 La
0.3143 0.9918 0.7500 La
0.6857 0.0082 0.2500 La
0.6857 0.4918 0.7500 La
0.0796 0.7120 0.2500 Sb
0.0796 0.7880 0.7500 Sb
0.2436 0.0038 0.2500 Sb
0.2436 0.4962 0.7500 Sb
0.4970 0.2500 0.0000 Sb
0.4970 0.2500 0.5000 Sb
0.5030 0.7500 0.0000 Sb
0.5030 0.7500 0.5000 Sb
0.7564 0.5038 0.2500 Sb
0.7564 0.9962 0.7500 Sb
0.9204 0.2120 0.2500 Sb
0.9204 0.2880 0.7500 Sb
```

Results
- ΔE_f (raw): -0.70 eV/atom
- Symmetry: No. 57
- Distance to the lowest polymorph of the same formula: 0 meV per atom

2.
A plane-wave DFT calculation with PBE was carried out for a relaxed structure of RbSi3O.

Structure (POSCAR):
```
RbSi3O
1.0
5.6441 0.0000 0.0000
0.0000 5.6441 0.0000
0.0000 0.0000 5.6441
Rb Si O
1 3 1
direct
0.0000 0.0000 0.0000 Rb
0.0000 0.0000 0.5000 Si
0.0000 0.5000 0.0000 Si
0.5000 0.0000 0.0000 Si
0.5000 0.5000 0.5000 O
```

Results
- ΔE_f (raw): 2.78 eV/atom
- Symmetry: No. 221
- Distance to the lowest polymorph of the same formula: 2205 meV per atom

3.
A plane-wave DFT calculation with PBE was carried out for a relaxed structure of NiAsP2S.

Structure (POSCAR):
```
NiAsP2S
1.0
4.3203 0.0000 0.0000
0.0000 4.3203 0.0000
0.0000 0.0000 4.6652
Ni As P S
1 1 2 1
direct
0.0000 0.0000 0.0000 Ni
0.5000 0.5000 0.5000 As
0.0000 0.5000 0.0000 P
0.5000 0.0000 0.0000 P
0.0000 0.0000 0.5000 S
```

Results
- ΔE_f (raw): 0.64 eV/atom
- Symmetry: No. 123
- Distance to the lowest polymorph of the same formula: 0 meV per atom

4.
A plane-wave DFT calculation with PBE was carried out for a relaxed structure of NdDy2Sc.

Structure (POSCAR):
```
NdDy2Sc
1.0
4.9314 0.0000 0.0000
0.0000 4.9314 0.0000
0.0000 0.0000 5.0098
Nd Dy Sc
1 2 1
direct
0.0000 0.0000 0.0000 Nd
0.0000 0.5000 0.5000 Dy
0.5000 0.0000 0.5000 Dy
0.5000 0.5000 0.0000 Sc
```

Results
- Calculated formation energy: 0.0420 eV per atom
- Symmetry: No. 123
- Distance to the lowest polymorph of the same formula: 0 meV per atom

5.
A plane-wave DFT calculation with PBE was carried out for a relaxed structure of AcYCuOs.

Structure (POSCAR):
```
AcYCuOs
1.0
0.0000 3.5859 3.5859
3.5859 0.0000 3.5859
3.5859 3.5859 0.0000
Ac Y Cu Os
1 1 1 1
direct
0.0000 0.0000 0.0000 Ac
0.5000 0.5000 0.5000 Y
0.7500 0.7500 0.7500 Cu
0.2500 0.2500 0.2500 Os
```

Results
- Calculated formation energy: -0.0260 eV per atom
- Symmetry: No. 216

6.
A plane-wave DFT calculation with PBE was carried out for a relaxed structure of ScIr2Ru.

Structure (POSCAR):
```
ScIr2Ru
1.0
4.6565 -1.4081 0.0000
4.6565 1.4081 0.0000
-0.8394 0.0000 4.6764
Sc Ir Ru
1 2 1
direct
0.0000 0.0000 0.0000 Sc
0.2451 0.2451 0.7386 Ir
0.7549 0.7549 0.2614 Ir
0.5000 0.5000 0.5000 Ru
```

Results
- Calculated formation energy: -0.3447 eV per atom
- Symmetry: No. 12
- Distance to the lowest polymorph of the same formula: 98 meV per atom

7.
A plane-wave DFT calculation with PBE was carried out for a relaxed structure of TbDyEr.

Structure (POSCAR):
```
TbDyEr
1.0
-1.7623 1.7623 7.4989
1.7623 -1.7623 7.4989
1.7623 1.7623 -7.4989
Tb Dy Er
1 1 1
direct
0.0000 0.0000 0.0000 Tb
0.6678 0.6678 0.0000 Dy
0.3336 0.3336 0.0000 Er
```

Results
- Calculated formation energy: 0.0200 eV per atom
- Symmetry: No. 107
- Distance to the lowest polymorph of the same formula: 0 meV per atom

8.
A plane-wave DFT calculation with PBE was carried out for a relaxed structure of CuBSe2.

Structure (POSCAR):
```
CuBSe2
1.0
-2.6651 2.6651 4.8680
2.6651 -2.6651 4.8680
2.6651 2.6651 -4.8680
Cu B Se
2 2 4
direct
0.0000 0.0000 0.0000 Cu
0.7500 0.2500 0.5000 Cu
0.2500 0.7500 0.5000 B
0.5000 0.5000 0.0000 B
0.1725 0.6250 0.0475 Se
0.3750 0.4225 0.5475 Se
0.5775 0.1250 0.9525 Se
0.8750 0.8275 0.4525 Se
```

Results
- ΔE_f (raw): -0.12 eV/atom
- Symmetry: No. 122

9.
A plane-wave DFT calculation with PBE was carried out for a relaxed structure of Cs4Rb2InPb2.

Structure (POSCAR):
```
Cs4Rb2InPb2
1.0
8.4254 -4.5215 0.0000
8.4254 4.5215 0.0000
-2.3391 0.0000 6.9273
Cs Rb In Pb
4 2 1 2
direct
0.0993 0.6390 0.7850 Cs
0.3610 0.9007 0.2150 Cs
0.6390 0.0993 0.7850 Cs
0.9007 0.3610 0.2150 Cs
0.3645 0.3645 0.2589 Rb
0.6355 0.6355 0.7411 Rb
0.0000 0.0000 0.5000 In
0.1700 0.1700 0.7466 Pb
0.8300 0.8300 0.2534 Pb
```

Results
- Calculated formation energy: -0.0564 eV per atom
- Symmetry: No. 12

| no. | spin magnetization (μB per formula unit) |
| --- | --- |
| 1 | 0.0 |
| 2 | 0.0 |
| 3 | 0.4 |
| 4 | 0.0 |
| 5 | 0.0 |
| 6 | 0.0 |
| 7 | 0.0 |
| 8 | 0.0 |
| 9 | 0.7 |